# 1
Density functional theory data (PBE-GGA) for crystalline Mg3Re at its relaxed geometry.

Properties
Crystal system: cubic
Total DFT energy (no corrections), hartree per atom: -0.1434
Energy above the most stable polymorph in this dataset, eV/atom: 0.222
Energy of formation from the pure elements, eV/atom: 0.41

Structure (POSCAR):
```
Mg3Re
1.0
4.1480 0.0000 0.0000
0.0000 4.1480 0.0000
0.0000 0.0000 4.1480
Mg Re
3 1
Direct
0.0000 0.0000 0.5000
0.0000 0.5000 0.0000
0.5000 0.0000 0.0000
0.5000 0.5000 0.5000
```

# 2
Density functional theory data (PBE-GGA) for crystalline Mg2Re at its relaxed geometry.

Properties
Crystal system: tetragonal
Total DFT energy (no corrections), hartree per atom: -0.1825
Energy above the most stable polymorph in this dataset, eV/atom: 0.021
Energy of formation from the pure elements, eV/atom: 0.25

Structure (POSCAR):
```
Mg2Re
1.0
-2.2903 2.2903 9.9920
2.2903 -2.2903 9.9920
2.2903 2.2903 -9.9920
Mg Re
8 4
Direct
0.1238 0.3738 0.7500
0.2880 0.5380 0.7500
0.3738 0.1238 0.2500
0.4620 0.7120 0.7500
0.5380 0.2880 0.2500
0.6262 0.8762 0.7500
0.7120 0.4620 0.2500
0.8762 0.6262 0.2500
0.0310 0.7810 0.2500
0.2190 0.9690 0.2500
0.7810 0.0310 0.7500
0.9690 0.2190 0.7500
```

Among the records above, which one has the highest energy above the most stable polymorph in this dataset?
Mg3Re